(1)
Material: DyGa3Pd2
Method: DFT, PBE-GGA
State: relaxed

Unit cell a=4.3020 b=7.5721 c=13.5579 alpha=90.00 beta=90.00 gamma=90.00
Space group Immm (No. 71)
Unique sites:
Dy 0.0000 0.0000 0.1312
Ga 0.0000 0.2071 0.3232
Ga 0.0000 0.3388 0.0000
Pd 0.0000 0.3210 0.5000
Pd 0.0000 0.5000 0.1931

Properties
DOS(E_F): 6.12 states/eV/cell
calculated total energy: -4.69 eV per atom

---

(2)
Material: Y4ErPd2
Method: DFT, PBE-GGA
State: relaxed

Unit cell a=9.0904 b=12.9730 c=6.4030 alpha=90.00 beta=90.00 gamma=90.00
Space group Cmcm (No. 63)
Unique sites:
Y 0.1851 0.2396 0.2500
Y 0.2003 0.5000 0.0000
Er 0.0000 0.1414 0.7500
Pd 0.0000 0.0672 0.2500
Pd 0.0000 0.3584 0.7500

Properties
DOS(E_F): 35.35 states/eV/cell
calculated total energy: -6.18 eV per atom

---

(3)
Material: Cs2IrCl4F2
Method: DFT, PBE-GGA
State: relaxed

Unit cell a=11.9772 b=7.2573 c=6.1169 alpha=90.00 beta=103.09 gamma=90.00
Space group C2/m (No. 12)
Unique sites:
Cs 0.1757 0.0000 0.3142
Ir 0.0000 0.5000 0.0000
Cl 0.0826 0.2707 0.8174
F 0.1383 0.5000 0.2470

Properties
DOS(E_F): 12.22 states/eV/cell
calculated total energy: -3.93 eV per atom

---

(4)
Material: CeAl2InPd4
Method: DFT, PBE-GGA
State: relaxed

Unit cell a=4.3384 b=4.3384 c=27.3187 alpha=90.00 beta=90.00 gamma=120.00
Space group R-3m (No. 166, hexagonal axes)
Unique sites:
Ce 0.0000 0.0000 0.0000
Al 0.0000 0.0000 0.2445
In 0.0000 0.0000 0.5000
Pd 0.0000 0.0000 0.1212
Pd 0.0000 0.0000 0.3984

Properties
DOS(E_F): 25.61 states/eV/cell
calculated total energy: -5.29 eV per atom

---

(5)
Material: BeHg2Br
Method: DFT, PBE-GGA
State: relaxed

Unit cell a=4.9869 b=4.9869 c=7.9264 alpha=90.00 beta=90.00 gamma=90.00
Space group I-4m2 (No. 119)
Unique sites:
Be 0.0000 0.0000 0.0000
Hg 0.0000 0.0000 0.5000
Hg 0.0000 0.5000 0.2500
Br 0.0000 0.5000 0.7500

Properties
DOS(E_F): 5.27 states/eV/cell
calculated total energy: -0.92 eV per atom

---

(6)
Material: Pr4Nd4Er3
Method: DFT, PBE-GGA
State: relaxed

Unit cell a=36.8292 b=5.7423 c=3.5941 alpha=90.00 beta=95.59 gamma=90.00
Space group C2/m (No. 12)
Unique sites:
Pr 0.0952 0.0000 0.0984
Pr 0.2220 0.5000 0.2233
Nd 0.0436 0.5000 0.0444
Nd 0.1815 0.0000 0.6840
Er 0.0000 0.0000 0.5000
Er 0.1300 0.5000 0.6322

Properties
DOS(E_F): 36.61 states/eV/cell
calculated total energy: -4.69 eV per atom

---

(7)
Material: Li3B8C8
Method: DFT, PBE-GGA
State: relaxed

Unit cell a=13.9401 b=2.6939 c=9.2504 alpha=90.00 beta=106.47 gamma=90.00
Space group Cm (No. 8)
Unique sites:
Li 0.0000 0.0000 0.0000
Li 0.0137 0.0000 0.5711
Li 0.2584 0.0000 0.1863
B 0.1198 0.5000 0.1710
B 0.1303 0.0000 0.4264
B 0.1551 0.0000 0.9352
B 0.1830 0.5000 0.6915
B 0.3363 0.0000 0.8892
B 0.3612 0.5000 0.6443
B 0.3893 0.0000 0.4096
B 0.3910 0.5000 0.1548
C 0.1170 0.0000 0.2551
C 0.1373 0.5000 0.0107
C 0.1428 0.5000 0.5163
C 0.1845 0.0000 0.7827
C 0.3329 0.5000 0.7978
C 0.3777 0.0000 0.0645
C 0.3804 0.0000 0.5718
C 0.3924 0.5000 0.3227

Properties
DOS(E_F): 3.76 states/eV/cell
calculated total energy: -6.91 eV per atom

---

(8)
Material: NaMn5Br12
Method: DFT, PBE-GGA
State: relaxed

Unit cell a=6.7230 b=11.7798 c=14.0083 alpha=90.00 beta=90.08 gamma=90.00
Space group C2/m (No. 12)
Unique sites:
Na 0.0000 0.0000 0.0000
Mn 0.0000 0.1657 0.5000
Mn 0.0000 0.3354 0.0000
Mn 0.0000 0.5000 0.5000
Br 0.1323 0.5000 0.8896
Br 0.1661 0.0000 0.6077
Br 0.1686 0.3329 0.6065
Br 0.1919 0.1842 0.8918

Properties
DOS(E_F): 25.73 states/eV/cell
calculated total energy: -4.58 eV per atom